Material: PmY12Ho6
Method: DFT, PBE
State: relaxed

Geometry as POSCAR:
```
PmY12Ho6
1.0
8.309 0.000 2.664
-4.137 7.757 3.377
0.035 0.000 9.417
Ho Y Pm
6 12 1
direct
0.052 0.683 0.527 Ho
0.421 0.473 0.210 Ho
0.632 0.210 0.317 Ho
0.368 0.790 0.683 Ho
0.579 0.527 0.790 Ho
0.948 0.317 0.473 Ho
0.737 0.578 0.370 Y
0.210 0.735 0.107 Y
0.894 0.630 0.947 Y
0.790 0.265 0.893 Y
0.159 0.053 0.578 Y
0.525 0.842 0.265 Y
0.475 0.158 0.735 Y
0.317 0.107 0.158 Y
0.841 0.947 0.422 Y
0.683 0.893 0.842 Y
0.106 0.370 0.053 Y
0.263 0.422 0.630 Y
0.000 0.000 0.000 Pm
```

Properties
Symmetry: R-3
Relative energy among the computed polymorphs (eV/f.u.): 0.00
Theoretical density (g/cm³): 6.030